(1)
Material: Cs2HgIrF6
Method: DFT, PBE
State: optimized geometry

- Formation energy (no corrections): -1.93 eV per atom
- Magnetic moment: 1.005 μB/f.u.

Unit cell a=9.835 b=9.835 c=9.835 alpha=90.00 beta=90.00 gamma=90.00
Space group Fm-3m (No. 225)
Inequivalent atoms, fractional coordinates:
Cs (0.250, 0.250, 0.250) (multiplicity 8)
Hg (0.000, 0.000, 0.000) (multiplicity 4)
Ir (0.000, 0.000, 0.500) (multiplicity 4)
F (0.000, 0.000, 0.299) (multiplicity 24)

=====

(2)
Material: Cs2KHgF5
Method: DFT, PBE
State: optimized geometry

- Formation energy (no corrections): -2.25 eV per atom
- Magnetic moment: 0.000 μB/f.u.

Unit cell a=4.582 b=6.606 c=14.176 alpha=90.00 beta=90.00 gamma=90.00
Space group Immm (No. 71)
Inequivalent atoms, fractional coordinates:
Cs (0.000, 0.000, 0.211) (multiplicity 4)
K (0.000, 0.500, 0.000) (multiplicity 2)
Hg (0.000, 0.500, 0.500) (multiplicity 2)
F (0.000, 0.000, 0.000) (multiplicity 2)
F (0.000, 0.251, 0.381) (multiplicity 8)

=====

(3)
Material: Cs3KHg2F9
Method: DFT, PBE
State: optimized geometry

- Formation energy (no corrections): -2.12 eV per atom
- Magnetic moment: 0.956 μB/f.u.

Unit cell a=6.6798 b=6.6798 c=8.2064 alpha=90.00 beta=90.00 gamma=120.00
Space group P-3m1 (No. 164)
Inequivalent atoms, fractional coordinates:
Cs (0.0000, 0.0000, 0.0000) (multiplicity 1)
Cs (0.3333, 0.6667, 0.6561) (multiplicity 2)
K (0.0000, 0.0000, 0.5000) (multiplicity 1)
Hg (0.3333, 0.6667, 0.1566) (multiplicity 2)
F (0.0000, 0.5000, 0.0000) (multiplicity 3)
F (0.1753, 0.3506, 0.3117) (multiplicity 6)

=====

(4)
Material: CsKHgF4
Method: DFT, PBE
State: optimized geometry

- Formation energy (no corrections): -2.19 eV per atom
- Magnetic moment: 0.000 μB/f.u.

Unit cell a=4.685 b=4.685 c=14.025 alpha=90.00 beta=90.00 gamma=90.00
Space group I4mm (No. 107)
Inequivalent atoms, fractional coordinates:
Cs (0.000, 0.000, 0.000) (multiplicity 2)
K (0.000, 0.000, 0.718) (multiplicity 2)
Hg (0.000, 0.000, 0.358) (multiplicity 2)
F (0.000, 0.000, 0.197) (multiplicity 2)
F (0.000, 0.000, 0.521) (multiplicity 2)
F (0.000, 0.500, 0.346) (multiplicity 4)

=====

(5)
Material: Cs3KHg2F8
Method: DFT, PBE
State: optimized geometry

- Formation energy (no corrections): -2.16 eV per atom
- Magnetic moment: 0.000 μB/f.u.

Unit cell a=6.7199 b=6.7199 c=8.7949 alpha=90.00 beta=90.00 gamma=120.00
Space group P-3m1 (No. 164)
Inequivalent atoms, fractional coordinates:
Cs (0.0000, 0.0000, 0.0000) (multiplicity 1)
Cs (0.3333, 0.6667, 0.6179) (multiplicity 2)
K (0.0000, 0.0000, 0.5000) (multiplicity 1)
Hg (0.3333, 0.6667, 0.1775) (multiplicity 2)
F (0.1716, 0.3433, 0.3148) (multiplicity 6)
F (0.3333, 0.6667, 0.9363) (multiplicity 2)

=====

(6)
Material: Cs4KHg3F12
Method: DFT, PBE
State: optimized geometry

- Formation energy (no corrections): -2.11 eV per atom
- Magnetic moment: 0.643 μB/f.u.

Unit cell a=9.447 b=9.447 c=9.447 alpha=90.00 beta=90.00 gamma=90.00
Space group Im-3m (No. 229)
Inequivalent atoms, fractional coordinates:
Cs (0.250, 0.250, 0.250) (multiplicity 8)
K (0.000, 0.000, 0.000) (multiplicity 2)
Hg (0.000, 0.000, 0.500) (multiplicity 6)
F (0.000, 0.000, 0.271) (multiplicity 12)
F (0.000, 0.250, 0.500) (multiplicity 12)

=====

(7)
Material: CsKHg2F8
Method: DFT, PBE
State: optimized geometry

- Formation energy (no corrections): -1.59 eV per atom
- Magnetic moment: 2.056 μB/f.u.

Unit cell a=6.349 b=6.349 c=10.464 alpha=90.00 beta=90.00 gamma=90.00
Space group I-4 (No. 82)
Inequivalent atoms, fractional coordinates:
Cs (0.000, 0.000, 0.000) (multiplicity 2)
K (0.000, 0.500, 0.750) (multiplicity 2)
Hg (0.000, 0.000, 0.500) (multiplicity 2)
Hg (0.000, 0.500, 0.250) (multiplicity 2)
F (0.199, 0.229, 0.369) (multiplicity 8)
F (0.200, 0.772, 0.370) (multiplicity 8)

=====

(8)
Material: CsK4Hg3F12
Method: DFT, PBE
State: optimized geometry

- Formation energy (no corrections): -2.06 eV per atom
- Magnetic moment: 1.184 μB/f.u.

Unit cell a=9.448 b=9.448 c=9.448 alpha=90.00 beta=90.00 gamma=90.00
Space group Im-3 (No. 204)
Inequivalent atoms, fractional coordinates:
Cs (0.000, 0.000, 0.000) (multiplicity 2)
K (0.250, 0.250, 0.250) (multiplicity 8)
Hg (0.000, 0.000, 0.500) (multiplicity 6)
F (0.000, 0.156, 0.329) (multiplicity 24)